# Sr2VMoO6

A relaxed structure of Sr2VMoO6 (GGA+U, the Alexandria database).

Magnetic moment: 0.3000 μB/atom
ρ: 5.4 g/cm3
Calculated total energy: -7.148 eV/atom

Geometry as POSCAR:
```
Sr2VMoO6
1.0
0.000 4.010 8.070
3.988 0.000 8.070
3.988 4.010 0.000
Sr V Mo O
4 2 2 12
Cartesian
1.994 2.005 0.000
1.994 2.005 3.714
1.994 2.005 8.070
5.981 6.015 11.784
3.988 4.010 1.869
3.988 4.010 9.938
3.988 4.010 5.890
3.988 4.010 13.959
6.058 4.010 5.893
3.988 2.008 5.887
3.988 4.010 3.865
6.079 4.010 9.926
3.988 2.008 9.930
3.988 4.010 7.912
3.988 6.012 5.887
1.918 4.010 5.893
3.988 4.010 11.939
3.988 6.012 9.930
1.896 4.010 9.926
3.988 4.010 15.985
```